No. 1
A plane-wave DFT calculation with PBE-GGA was carried out for Ba8BiTe3I4 after structural relaxation.

Lattice parameters (Å, degrees): 10.029 10.029 10.029 60.18 60.18 60.18
Element x y z (fractional)
Ba 0.243 0.243 0.243
Ba 0.245 0.742 0.742
Ba 0.258 0.258 0.755
Ba 0.258 0.755 0.258
Ba 0.742 0.245 0.742
Ba 0.742 0.742 0.245
Ba 0.755 0.258 0.258
Ba 0.757 0.757 0.757
Bi 0.500 0.500 0.500
Te 0.000 0.000 0.500
Te 0.000 0.500 0.000
Te 0.500 0.000 0.000
I 0.000 0.000 0.000
I 0.000 0.500 0.500
I 0.500 0.000 0.500
I 0.500 0.500 0.000

Properties
SG: R-3m (166)
DFT total energy, eV/atom: -3.70

No. 2
A plane-wave DFT calculation with PBE-GGA was carried out for Pt2Se3S after structural relaxation.

Lattice parameters (Å, degrees): 7.422 7.422 5.918 90.00 90.00 120.00
Element x y z (fractional)
Pt 0.000 0.000 0.000
Pt 0.000 0.500 0.000
Pt 0.500 0.000 0.000
Pt 0.500 0.500 0.000
Se 0.166 0.331 0.772
Se 0.166 0.834 0.772
Se 0.331 0.166 0.228
Se 0.669 0.834 0.772
Se 0.834 0.166 0.228
Se 0.834 0.669 0.228
S 0.333 0.667 0.188
S 0.667 0.333 0.812

Properties
SG: P-3m1 (164)
DFT total energy, eV/atom: -4.83